# 1
Below is a relaxed structure of CdFeI2O, with properties calculated at the PBE with a Hubbard U level.

relative energy among the computed polymorphs: 0 meV/atom
total magnetic moment: 4.78 μB per cell

Lattice parameters (Å, degrees): 5.7426 5.7426 3.7495 90.00 90.00 90.00
Space group P4/mmm (No. 123)
One atom of each set of equivalent atoms:
Cd 0.0000 0.0000 0.0000
Fe 0.5000 0.5000 0.5000
I 0.0000 0.5000 0.5000
O 0.5000 0.5000 0.0000


# 2
Below is a relaxed structure of CdFeIO2, with properties calculated at the PBE with a Hubbard U level.

relative energy among the computed polymorphs: 567 meV/atom
total magnetic moment: 5.10 μB per cell

Lattice parameters (Å, degrees): 4.2008 4.2008 6.2339 90.00 90.00 90.00
Space group P4/mmm (No. 123)
One atom of each set of equivalent atoms:
Cd 0.0000 0.0000 0.0000
Fe 0.5000 0.5000 0.5000
I 0.0000 0.0000 0.5000
O 0.0000 0.5000 0.0000


# 3
Below is a relaxed structure of CdFeI2O, with properties calculated at the PBE with a Hubbard U level.

relative energy among the computed polymorphs: 503 meV/atom
total magnetic moment: 4.34 μB per cell

Lattice parameters (Å, degrees): 5.9701 5.9701 4.0807 90.00 90.00 90.00
Space group P4/mmm (No. 123)
One atom of each set of equivalent atoms:
Cd 0.0000 0.0000 0.0000
Fe 0.5000 0.5000 0.5000
I 0.0000 0.5000 0.0000
O 0.0000 0.0000 0.5000